An optimized crystal structure of Li15Mg2Ga2, computed with GGA-PBE.

Values from the calculation:
Crystal system = trigonal
Magnetization = 0.000 μB per atom
Final energy = -0.1482 Ry per atom
DFT formation energy = -19 meV/atom

Cell lengths 7.136, 7.136, 7.136 Å; angles 79.94, 79.94, 79.94 degrees
Atoms (fractional coordinates):
1 Li 0.277 0.000 0.723
2 Li 0.631 0.133 0.631
3 Ga 0.104 0.104 0.104
4 Mg 0.673 0.673 0.673
5 Ga 0.896 0.896 0.896
6 Li 0.500 0.000 0.000
7 Li 0.723 0.000 0.277
8 Li 0.369 0.867 0.369
9 Li 0.000 0.723 0.277
10 Li 0.000 0.500 0.000
11 Li 0.723 0.277 0.000
12 Li 0.000 0.000 0.500
13 Li 0.133 0.631 0.631
14 Li 0.867 0.369 0.369
15 Li 0.369 0.369 0.867
16 Li 0.000 0.277 0.723
17 Li 0.631 0.631 0.133
18 Li 0.277 0.723 0.000
19 Mg 0.327 0.327 0.327

***

An optimized crystal structure of LiBeAl, computed with GGA-PBE.

Values from the calculation:
Crystal system = cubic
Magnetization = 0.000 μB per atom
Final energy = -0.2088 Ry per atom
DFT formation energy = 287 meV/atom
ΔE to the lowest computed polymorph = 6.48 kcal/mol of atoms

Cell lengths 4.030, 4.030, 4.030 Å; angles 60.00, 60.00, 60.00 degrees
Atoms (fractional coordinates):
1 Al 0.500 0.500 0.500
2 Be 0.750 0.750 0.750
3 Li 0.000 0.000 0.000

***

An optimized crystal structure of TbTm3Pd3, computed with GGA-PBE.

Values from the calculation:
Crystal system = monoclinic
Magnetization = 0.000 μB per atom
Final energy = -0.4059 Ry per atom
DFT formation energy = -720 meV/atom
ΔE to the lowest computed polymorph = 0.25 kcal/mol of atoms

Cell lengths 6.900, 6.900, 7.040 Å; angles 91.24, 91.24, 97.33 degrees
Atoms (fractional coordinates):
1 Tb 0.265 0.265 0.122
2 Tm 0.347 0.347 0.635
3 Tb 0.735 0.735 0.878
4 Tm 0.823 0.177 0.500
5 Pd 0.991 0.495 0.722
6 Pd 0.009 0.505 0.278
7 Pd 0.495 0.991 0.722
8 Tm 0.653 0.653 0.365
9 Pd 0.061 0.061 0.805
10 Pd 0.505 0.009 0.278
11 Tm 0.177 0.823 0.500
12 Tm 0.248 0.752 0.000
13 Pd 0.939 0.939 0.195
14 Tm 0.752 0.248 0.000